The following is a PBE-GGA calculation of crystalline CePmTlRu at its relaxed geometry, from Alexandria via LeMat-Bulk.

Geometry as POSCAR:
```
CePmTlRu
1.0
0.000 3.682 3.682
3.682 0.000 3.682
3.682 3.682 0.000
Ce Pm Tl Ru
1 1 1 1
Direct
0.000 0.000 0.000
0.500 0.500 0.500
0.750 0.750 0.750
0.250 0.250 0.250
```

- total DFT energy (no corrections) (eV per atom) = -5.70
- crystal system = cubic
- volume (Å³ per cell) = 99.83
- DOS at the Fermi energy (states/eV per cell) = 6.39

***

The following is a PBE-GGA calculation of crystalline CePmZnRu at its relaxed geometry, from Alexandria via LeMat-Bulk.

Geometry as POSCAR:
```
CePmZnRu
1.0
0.000 3.547 3.547
3.547 0.000 3.547
3.547 3.547 0.000
Ce Pm Zn Ru
1 1 1 1
Direct
0.000 0.000 0.000
0.500 0.500 0.500
0.250 0.250 0.250
0.750 0.750 0.750
```

- total DFT energy (no corrections) (eV per atom) = -5.55
- crystal system = cubic
- volume (Å³ per cell) = 89.22
- DOS at the Fermi energy (states/eV per cell) = 4.42

***

The following is a PBE-GGA calculation of crystalline CePmS2 at its relaxed geometry, from Alexandria via LeMat-Bulk.

Geometry as POSCAR:
```
CePmS2
1.0
3.919 0.000 0.000
-1.959 3.394 0.000
0.000 0.000 7.220
Ce Pm S
1 1 2
Direct
0.000 0.000 0.000
0.000 0.000 0.500
0.333 0.667 0.746
0.667 0.333 0.254
```

- total DFT energy (no corrections) (eV per atom) = -6.60
- crystal system = trigonal
- volume (Å³ per cell) = 96.02
- uncorrected formation energy (meV/atom) = -1861
- DOS at the Fermi energy (states/eV per cell) = 5.92

***

The following is a PBE-GGA calculation of crystalline CePm3S4 at its relaxed geometry, from Alexandria via LeMat-Bulk.

Geometry as POSCAR:
```
CePm3S4
1.0
5.701 0.000 0.000
0.000 5.701 0.000
0.000 0.000 5.701
Ce Pm S
1 3 4
Direct
0.000 0.000 0.000
0.000 0.500 0.500
0.500 0.000 0.500
0.500 0.500 0.000
0.000 0.000 0.500
0.000 0.500 0.000
0.500 0.000 0.000
0.500 0.500 0.500
```

- total DFT energy (no corrections) (eV per atom) = -6.63
- crystal system = cubic
- volume (Å³ per cell) = 185.27
- uncorrected formation energy (meV/atom) = -2040
- DOS at the Fermi energy (states/eV per cell) = 8.04

***

Among the records above, which one has the highest total DFT energy (no corrections)? CePmZnRu

***

DOS at the Fermi energy of number 1 (CePmTlRu)? 6.39 states/eV per cell

***

Among the records above, which one has the lowest DOS at the Fermi energy? CePmZnRu